Below is crystalline LaEuCdIr at its relaxed geometry, with properties calculated at the PBE level.

a = 7.412 Å, b = 7.412 Å, c = 7.412 Å
α = 90.00°, β = 90.00°, γ = 90.00°
Space group F-43m (No. 216)
One atom of each set of equivalent atoms:
La 0.000 0.000 0.000
Eu 0.000 0.000 0.500
Cd 0.250 0.250 0.750
Ir 0.250 0.250 0.250

Output
DOS at the Fermi energy: 24.97 states/eV/cell
ΔE_f: -357 meV per atom
Total magnetization: 27.9 Bohr magnetons per cell


Below is crystalline LiEuCdIr at its relaxed geometry, with properties calculated at the PBE level.

a = 6.863 Å, b = 6.863 Å, c = 6.863 Å
α = 90.00°, β = 90.00°, γ = 90.00°
Space group F-43m (No. 216)
One atom of each set of equivalent atoms:
Li 0.000 0.000 0.000
Eu 0.250 0.250 0.750
Cd 0.250 0.250 0.250
Ir 0.000 0.000 0.500

Output
DOS at the Fermi energy: 36.87 states/eV/cell
ΔE_f: -196 meV per atom
Total magnetization: 27.6 Bohr magnetons per cell


Below is crystalline NdEuCdIr at its relaxed geometry, with properties calculated at the PBE level.

a = 7.345 Å, b = 7.345 Å, c = 7.345 Å
α = 90.00°, β = 90.00°, γ = 90.00°
Space group F-43m (No. 216)
One atom of each set of equivalent atoms:
Nd 0.000 0.000 0.000
Eu 0.000 0.000 0.500
Cd 0.250 0.250 0.750
Ir 0.250 0.250 0.250

Output
DOS at the Fermi energy: 23.56 states/eV/cell
ΔE_f: -339 meV per atom
Total magnetization: 27.8 Bohr magnetons per cell


Below is crystalline EuPuCdIr at its relaxed geometry, with properties calculated at the PBE level.

a = 7.260 Å, b = 7.260 Å, c = 7.260 Å
α = 90.00°, β = 90.00°, γ = 90.00°
Space group F-43m (No. 216)
One atom of each set of equivalent atoms:
Eu 0.000 0.000 0.000
Pu 0.000 0.000 0.500
Cd 0.250 0.250 0.750
Ir 0.250 0.250 0.250

Output
DOS at the Fermi energy: 56.75 states/eV/cell
ΔE_f: -156 meV per atom
Total magnetization: 50.3 Bohr magnetons per cell


Below is crystalline SrEuCdIr at its relaxed geometry, with properties calculated at the PBE level.

a = 7.454 Å, b = 7.454 Å, c = 7.454 Å
α = 90.00°, β = 90.00°, γ = 90.00°
Space group F-43m (No. 216)
One atom of each set of equivalent atoms:
Sr 0.000 0.000 0.000
Eu 0.000 0.000 0.500
Cd 0.250 0.250 0.250
Ir 0.250 0.250 0.750

Output
DOS at the Fermi energy: 29.50 states/eV/cell
ΔE_f: -177 meV per atom
Total magnetization: 28.1 Bohr magnetons per cell


Below is crystalline EuThCdIr at its relaxed geometry, with properties calculated at the PBE level.

a = 7.361 Å, b = 7.361 Å, c = 7.361 Å
α = 90.00°, β = 90.00°, γ = 90.00°
Space group F-43m (No. 216)
One atom of each set of equivalent atoms:
Eu 0.000 0.000 0.000
Th 0.000 0.000 0.500
Cd 0.250 0.250 0.250
Ir 0.250 0.250 0.750

Output
DOS at the Fermi energy: 22.23 states/eV/cell
ΔE_f: -318 meV per atom
Total magnetization: 27.7 Bohr magnetons per cell


Below is crystalline EuTmCdIr at its relaxed geometry, with properties calculated at the PBE level.

a = 7.175 Å, b = 7.175 Å, c = 7.175 Å
α = 90.00°, β = 90.00°, γ = 90.00°
Space group F-43m (No. 216)
One atom of each set of equivalent atoms:
Eu 0.000 0.000 0.000
Tm 0.000 0.000 0.500
Cd 0.250 0.250 0.250
Ir 0.250 0.250 0.750

Output
DOS at the Fermi energy: 24.62 states/eV/cell
ΔE_f: -381 meV per atom
Total magnetization: 27.4 Bohr magnetons per cell


Below is crystalline EuYCdIr at its relaxed geometry, with properties calculated at the PBE level.

a = 7.232 Å, b = 7.232 Å, c = 7.232 Å
α = 90.00°, β = 90.00°, γ = 90.00°
Space group F-43m (No. 216)
One atom of each set of equivalent atoms:
Eu 0.000 0.000 0.000
Y 0.000 0.000 0.500
Cd 0.250 0.250 0.750
Ir 0.250 0.250 0.250

Output
DOS at the Fermi energy: 27.35 states/eV/cell
ΔE_f: -374 meV per atom
Total magnetization: 27.6 Bohr magnetons per cell


Below is crystalline KEuCd at its relaxed geometry, with properties calculated at the PBE level.

a = 4.053 Å, b = 4.053 Å, c = 15.377 Å
α = 90.00°, β = 90.00°, γ = 90.00°
Space group I4mm (No. 107)
One atom of each set of equivalent atoms:
K 0.000 0.000 0.000
Eu 0.000 0.000 0.272
Cd 0.000 0.000 0.658

Output
DOS at the Fermi energy: 23.97 states/eV/cell
ΔE_f: -48 meV per atom
Total magnetization: 15.3 Bohr magnetons per cell


Below is crystalline KEuCd4 at its relaxed geometry, with properties calculated at the PBE level.

a = 8.803 Å, b = 8.803 Å, c = 8.803 Å
α = 90.00°, β = 90.00°, γ = 90.00°
Space group F-43m (No. 216)
One atom of each set of equivalent atoms:
K 0.000 0.000 0.000
Eu 0.250 0.250 0.250
Cd 0.125 0.125 0.625

Output
DOS at the Fermi energy: 39.85 states/eV/cell
ΔE_f: -166 meV per atom
Total magnetization: 31.0 Bohr magnetons per cell


Below is crystalline KEuCd2 at its relaxed geometry, with properties calculated at the PBE level.

a = 3.992 Å, b = 3.992 Å, c = 8.673 Å
α = 90.00°, β = 90.00°, γ = 90.00°
Space group P4/mmm (No. 123)
One atom of each set of equivalent atoms:
K 0.000 0.000 0.000
Eu 0.000 0.000 0.500
Cd 0.500 0.500 0.288

Output
DOS at the Fermi energy: 3.18 states/eV/cell
ΔE_f: -150 meV per atom
Polymorph energy (0 for the lowest one): 0.0 meV per atom
Total magnetization: 7.3 Bohr magnetons per cell


Below is crystalline K2EuCd at its relaxed geometry, with properties calculated at the PBE level.

a = 4.0435 Å, b = 4.0435 Å, c = 40.8948 Å
α = 90.00°, β = 90.00°, γ = 120.00°
Space group R-3m (No. 166, hexagonal axes)
One atom of each set of equivalent atoms:
K 0.0000 0.0000 0.0968
Eu 0.0000 0.0000 0.0000
Cd 0.0000 0.0000 0.5000

Output
DOS at the Fermi energy: 10.44 states/eV/cell
ΔE_f: 180 meV per atom
Total magnetization: 22.7 Bohr magnetons per cell